(1)
Below is crystalline RbAg4Sn at its relaxed geometry, with properties calculated at the PBE level.

a = 5.8247 Å, b = 5.8247 Å, c = 5.8247 Å
α = 60.00°, β = 60.00°, γ = 60.00°
Fractional positions:
Rb1 0.0000 0.0000 0.0000
Ag1 0.3760 0.3760 0.3760
Ag2 0.3760 0.3760 0.8719
Ag3 0.3760 0.8719 0.3760
Ag4 0.8719 0.3760 0.3760
Sn1 0.7500 0.7500 0.7500

For the total energy, the calculation gives -2.629 eV/atom. As for the crystal system: cubic. The formation energy comes out at 0.100 eV/atom. The calculation puts the magnetization at 0.000 μB per formula unit. The symmetry is F-43m (216).



(2)
Below is crystalline RbAgSn3 at its relaxed geometry, with properties calculated at the PBE level.

a = 5.5496 Å, b = 5.5496 Å, c = 5.5496 Å
α = 90.00°, β = 90.00°, γ = 90.00°
Fractional positions:
Rb1 0.0000 0.0000 0.0000
Ag1 0.5000 0.5000 0.5000
Sn1 0.0000 0.5000 0.5000
Sn2 0.5000 0.0000 0.5000
Sn3 0.5000 0.5000 0.0000

The energy above the most stable polymorph in this dataset comes out at 383 meV per atom. For the total energy, the calculation gives -2.947 eV/atom. As for the crystal system: cubic. The formation energy comes out at 0.219 eV/atom. The calculation puts the magnetization at 0.000 μB per formula unit. The symmetry is Pm-3m (221).



(3)
Below is crystalline Rb3Ag2Sn4 at its relaxed geometry, with properties calculated at the PBE level.

a = 4.7649 Å, b = 7.4624 Å, c = 10.2904 Å
α = 108.59°, β = 90.06°, γ = 108.58°
Fractional positions:
Rb1 0.0000 0.0000 0.0000
Rb2 0.3704 0.7389 0.6183
Rb3 0.6296 0.2611 0.3817
Ag1 0.3418 0.6837 0.2159
Ag2 0.6582 0.3163 0.7841
Sn1 0.0840 0.1672 0.6429
Sn2 0.2782 0.5577 0.9162
Sn3 0.7218 0.4423 0.0838
Sn4 0.9160 0.8328 0.3571

For the total energy, the calculation gives -2.848 eV/atom. As for the crystal system: triclinic. The formation energy comes out at -0.113 eV/atom. The calculation puts the magnetization at 0.000 μB per formula unit. The symmetry is P-1 (2).